No. 1
First-principles (PBE) data for crystalline BaHgMoPd2 at its relaxed geometry, as listed in Alexandria.

Output
The value obtained for the formation energy is 1.5489 eV/atom. As for the space group: P4/mmm (123).

abc: 5.3908 6.1124 5.3908
angles: 90.00 90.00 90.00
With the nearest neighbours (Å) after each atom.
Fractional coordinates of all 5 atoms:
Pd 0.0000 0.0000 0.5000  2 Ba 2.70
Pd 0.5000 0.0000 0.0000  2 Ba 2.70
Hg 0.0000 0.5000 0.0000  2 Ba 3.06
Mo 0.5000 0.5000 0.5000  4 Hg 3.81, 8 Pd 4.07
Ba 0.0000 0.0000 0.0000  4 Pd 2.70


No. 2
First-principles (PBE) data for crystalline BaSiHgMo2 at its relaxed geometry, as listed in Alexandria.

Output
The uncorrected formation energy is 1.8573 eV per atom. As for the space group: P4/mmm (123).

abc: 5.2490 6.0339 5.2490
angles: 90.00 90.00 90.00
With the nearest neighbours (Å) after each atom.
Fractional coordinates of all 5 atoms:
Hg 0.0000 0.0000 0.0000  4 Mo 2.62
Mo 0.0000 0.0000 0.5000  2 Hg 2.62
Mo 0.5000 0.0000 0.0000  2 Hg 2.62
Ba 0.0000 0.5000 0.0000  2 Hg 3.02
Si 0.5000 0.5000 0.5000  4 Ba 3.71, 8 Mo 4.00


No. 3
First-principles (PBE) data for crystalline BaZrHg2Mo at its relaxed geometry, as listed in Alexandria.

Output
The value obtained for the formation energy is 1.9502 eV/atom. As for the space group: P4/mmm (123).

abc: 5.9537 5.7434 5.9537
angles: 90.00 90.00 90.00
With the nearest neighbours (Å) after each atom.
Fractional coordinates of all 5 atoms:
Hg 0.5000 0.0000 0.0000  2 Ba 2.98
Hg 0.0000 0.0000 0.5000  2 Ba 2.98
Mo 0.5000 0.5000 0.5000  8 Hg 4.14, 4 Zr 4.21
Ba 0.0000 0.0000 0.0000  2 Zr 2.87, 4 Hg 2.98
Zr 0.0000 0.5000 0.0000  2 Ba 2.87


No. 4
First-principles (PBE) data for crystalline Ba4HgN at its relaxed geometry, as listed in Alexandria.

Output
The energy above the lowest structure with this stoichiometry comes out at 11 meV per atom. The uncorrected formation energy is -0.3254 eV per atom. As for the space group: P2_1/c (14).

abc: 10.1559 10.6640 10.7243
angles: 90.00 90.00 105.52
With the nearest neighbours (Å) after each atom.
Fractional coordinates of all 24 atoms:
Ba 0.9850 0.1007 0.6550  1 N 2.49
Ba 0.5638 0.7425 0.4995  1 N 2.54
Ba 0.4362 0.2575 0.5005  1 N 2.54
Ba 0.1688 0.5101 0.6266  1 N 2.53
Ba 0.2755 0.8775 0.7018  1 N 2.52
Ba 0.8312 0.4899 0.3734  1 N 2.53
Ba 0.2245 0.6225 0.2018  1 N 2.52
Ba 0.3312 0.9899 0.1266  1 N 2.53
Ba 0.0150 0.8993 0.3450  1 N 2.49
Ba 0.7245 0.1225 0.2982  1 N 2.52
Ba 0.0638 0.2425 0.0005  1 N 2.54
Ba 0.5150 0.3993 0.1550  1 N 2.49
Ba 0.4850 0.6007 0.8450  1 N 2.49
Ba 0.7755 0.3775 0.7982  1 N 2.52
Ba 0.6688 0.0101 0.8734  1 N 2.53
Ba 0.9362 0.7575 0.9995  1 N 2.54
N 0.8813 0.1922 0.8318  4 Ba 2.49-2.54
N 0.6187 0.3078 0.3318  4 Ba 2.49-2.54
N 0.1187 0.8078 0.1682  4 Ba 2.49-2.54
N 0.3813 0.6922 0.6682  4 Ba 2.49-2.54
Hg 0.8982 0.7192 0.6463  8 Ba 3.76-3.98
Hg 0.6018 0.7808 0.1463  8 Ba 3.76-3.98
Hg 0.3982 0.2192 0.8537  8 Ba 3.76-3.98
Hg 0.1018 0.2808 0.3537  8 Ba 3.76-3.98


No. 5
First-principles (PBE) data for crystalline Ba8HgN2 at its relaxed geometry, as listed in Alexandria.

Output
The uncorrected formation energy is -0.2744 eV per atom. As for the space group: C2/m (12).

abc: 7.7587 9.5384 9.5384
angles: 60.88 85.35 85.35
With the nearest neighbours (Å) after each atom.
Fractional coordinates of all 11 atoms:
Ba 0.7597 0.6773 0.6773  1 N 2.48
Ba 0.6887 0.1677 0.1677  1 N 2.55
Ba 0.2403 0.3227 0.3227  1 N 2.48
Ba 0.2599 0.8923 0.3200  1 N 2.53
Ba 0.2599 0.3200 0.8923  1 N 2.53
Ba 0.3113 0.8323 0.8323  1 N 2.55
Ba 0.7401 0.1077 0.6800  1 N 2.53
Ba 0.7401 0.6800 0.1077  1 N 2.53
N 0.6413 0.8228 0.8228  4 Ba 2.48-2.55
N 0.3587 0.1772 0.1772  4 Ba 2.48-2.55
Hg 0.0000 0.0000 0.0000  6 Ba 3.47-3.49


No. 6
First-principles (PBE) data for crystalline BaHgN at its relaxed geometry, as listed in Alexandria.

Output
The uncorrected formation energy is -0.4551 eV per atom. As for the space group: C2/m (12).

abc: 4.2194 4.6048 10.0574
angles: 104.58 90.00 117.27
With the nearest neighbours (Å) after each atom.
Fractional coordinates of all 6 atoms:
Hg 0.3170 0.6341 0.4210  3 Hg 2.97-3.03
Hg 0.6830 0.3659 0.5790  3 Hg 2.97-3.03
N 0.5796 0.1592 0.0301  1 N 1.27
N 0.4204 0.8408 0.9699  1 N 1.27
Ba 0.0899 0.1799 0.8386  3 N 2.65-2.87
Ba 0.9101 0.8201 0.1614  3 N 2.65-2.87


No. 7
First-principles (PBE) data for crystalline Ba6HgN2 at its relaxed geometry, as listed in Alexandria.

Output
The uncorrected formation energy is -0.3254 eV per atom. As for the space group: C2/m (12).

abc: 5.2438 8.1097 10.4881
angles: 106.50 90.00 108.86
With the nearest neighbours (Å) after each atom.
Fractional coordinates of all 9 atoms:
Ba 0.3422 0.6845 0.3677  1 N 2.55
Ba 0.0693 0.1386 0.2124  1 N 2.58
Ba 0.3118 0.6237 0.9533  3 N 2.80
Ba 0.6882 0.3763 0.0467  3 N 2.80
Ba 0.6578 0.3155 0.6323  1 N 2.55
Ba 0.9307 0.8614 0.7876  1 N 2.58
Hg 0.0000 0.0000 0.5000  6 Ba 3.49-3.56
N 0.2170 0.4340 0.1436  5 Ba 2.55-2.80
N 0.7830 0.5660 0.8564  5 Ba 2.55-2.80


No. 8
First-principles (PBE) data for crystalline Ba12Hg6N at its relaxed geometry, as listed in Alexandria.

Output
The uncorrected formation energy is -0.3075 eV per atom. As for the space group: R-3 (148).

abc: 9.6737 9.6737 9.6737
angles: 98.00 98.00 98.00
With the nearest neighbours (Å) after each atom.
Fractional coordinates of all 19 atoms:
Ba 0.8171 0.5720 0.4271  4 Hg 3.38-3.66
Ba 0.2947 0.0576 0.9935  1 N 2.84
Ba 0.9424 0.0065 0.7053  1 N 2.84
Ba 0.4280 0.5729 0.1829  4 Hg 3.38-3.66
Ba 0.5729 0.1829 0.4280  4 Hg 3.38-3.66
Ba 0.9935 0.2947 0.0576  1 N 2.84
Ba 0.0576 0.9935 0.2947  1 N 2.84
Ba 0.1829 0.4280 0.5729  4 Hg 3.38-3.66
Ba 0.4271 0.8171 0.5720  4 Hg 3.38-3.66
Ba 0.0065 0.7053 0.9424  1 N 2.84
Ba 0.5720 0.4271 0.8171  4 Hg 3.38-3.66
Ba 0.7053 0.9424 0.0065  1 N 2.84
Hg 0.8717 0.3545 0.6999  6 Ba 3.38-3.66
Hg 0.3545 0.6999 0.8717  6 Ba 3.38-3.66
Hg 0.6455 0.3001 0.1283  6 Ba 3.38-3.66
Hg 0.6999 0.8717 0.3545  6 Ba 3.38-3.66
Hg 0.3001 0.1283 0.6455  6 Ba 3.38-3.66
Hg 0.1283 0.6455 0.3001  6 Ba 3.38-3.66
N 0.0000 0.0000 0.0000  6 Ba 2.84


No. 9
First-principles (PBE) data for crystalline Ba7Hg2N2 at its relaxed geometry, as listed in Alexandria.

Output
The uncorrected formation energy is -0.3042 eV per atom. As for the space group: C2/m (12).

abc: 7.6254 8.6841 8.6841
angles: 101.67 97.69 97.69
With the nearest neighbours (Å) after each atom.
Fractional coordinates of all 11 atoms:
Hg 0.5000 0.6996 0.3004  6 Ba 3.51-3.69
Hg 0.5000 0.3004 0.6996  6 Ba 3.51-3.69
N 0.0849 0.7732 0.7732  4 Ba 2.50-2.70
N 0.9151 0.2268 0.2268  4 Ba 2.50-2.70
Ba 0.2113 0.3798 0.3798  1 N 2.51
Ba 0.2636 0.9084 0.6021  1 N 2.50
Ba 0.2636 0.6021 0.9084  1 N 2.50
Ba 0.7887 0.6202 0.6202  1 N 2.51
Ba 0.7364 0.0916 0.3979  1 N 2.50
Ba 0.0000 0.0000 0.0000  2 N 2.70
Ba 0.7364 0.3979 0.0916  1 N 2.50


No. 10
First-principles (PBE) data for crystalline BaHgN2 at its relaxed geometry, as listed in Alexandria.

Output
The uncorrected formation energy is 0.7970 eV per atom. As for the space group: I-42d (122).

abc: 5.2311 5.2311 7.4524
angles: 69.45 69.45 90.00
With the nearest neighbours (Å) after each atom.
Fractional coordinates of all 8 atoms:
Hg 0.7500 0.2500 0.5000  4 N 2.28
Hg 0.0000 0.0000 0.0000  4 N 2.28
N 0.0535 0.6250 0.2500  2 Hg 2.28
N 0.3750 0.3035 0.7500  2 Hg 2.28
N 0.8750 0.9465 0.7500  2 Hg 2.28
N 0.6965 0.1250 0.2500  2 Hg 2.28
Ba 0.2500 0.7500 0.5000  4 N 2.67
Ba 0.5000 0.5000 0.0000  4 N 2.67


No. 11
First-principles (PBE) data for crystalline Ba12Hg5N2 at its relaxed geometry, as listed in Alexandria.

Output
The uncorrected formation energy is -0.3173 eV per atom. As for the space group: C2/m (12).

abc: 8.7564 10.1777 11.0789
angles: 105.69 90.00 115.48
With the nearest neighbours (Å) after each atom.
Fractional coordinates of all 19 atoms:
Ba 0.5899 0.6929 0.9215  1 N 2.70
Ba 0.4101 0.3071 0.0785  1 N 2.70
Ba 0.9012 0.3042 0.5710  4 Hg 3.46-3.56
Ba 0.1030 0.6929 0.9215  1 N 2.70
Ba 0.8970 0.3071 0.0785  1 N 2.70
Ba 0.4987 0.9973 0.1826  2 N 3.14, 2 Hg 3.42-3.43
Ba 0.4030 0.3042 0.5710  4 Hg 3.46-3.56
Ba 0.5970 0.6958 0.4290  4 Hg 3.46-3.56
Ba 0.0018 0.0035 0.8262  2 N 2.77
Ba 0.0988 0.6958 0.4290  4 Hg 3.46-3.56
Ba 0.5013 0.0027 0.8174  2 N 3.14, 2 Hg 3.42-3.43
Ba 0.9982 0.9965 0.1738  2 N 2.77
Hg 0.0000 0.0000 0.5000  6 Ba 3.46-3.60
Hg 0.3109 0.6218 0.6507  7 Ba 3.43-3.58
Hg 0.3094 0.6187 0.1636  7 Ba 3.42-3.65
Hg 0.6906 0.3813 0.8364  7 Ba 3.42-3.65
Hg 0.6891 0.3782 0.3493  7 Ba 3.43-3.58
N 0.2263 0.0000 0.0000  4 Ba 2.70-2.77
N 0.7737 0.0000 0.0000  4 Ba 2.70-2.77


No. 12
First-principles (PBE) data for crystalline BaHg3N at its relaxed geometry, as listed in Alexandria.

Output
The energy above the lowest structure with this stoichiometry comes out at 651 meV per atom. The uncorrected formation energy is 1.1197 eV per atom. As for the space group: Pm-3m (221).

abc: 6.9731 6.9731 6.9731
angles: 90.00 90.00 90.00
With the nearest neighbours (Å) after each atom.
Fractional coordinates of all 5 atoms:
N 0.5000 0.5000 0.5000  12 Hg 4.93
Hg 0.0000 0.0000 0.5000  2 Ba 3.49
Hg 0.0000 0.5000 0.0000  2 Ba 3.49
Hg 0.5000 0.0000 0.0000  2 Ba 3.49
Ba 0.0000 0.0000 0.0000  6 Hg 3.49


No. 13
First-principles (PBE) data for crystalline Ba6HgN at its relaxed geometry, as listed in Alexandria.

Output
The uncorrected formation energy is -0.2224 eV per atom. As for the space group: C2/m (12).

abc: 7.5417 8.1794 7.6518
angles: 57.69 82.35 75.58
With the nearest neighbours (Å) after each atom.
Fractional coordinates of all 8 atoms:
Ba 0.2591 0.5159 0.3035  1 N 2.79
Ba 0.3160 0.2384 0.0000  1 N 2.83
Ba 0.7409 0.4841 0.6965  1 N 2.79
Ba 0.6840 0.7616 0.0000  1 N 2.83
Ba 0.7409 0.1806 0.3035  1 N 2.79
Ba 0.2591 0.8194 0.6965  1 N 2.79
N 0.5000 0.5000 0.0000  6 Ba 2.79-2.83
Hg 0.0000 0.0000 0.0000  6 Ba 3.43-3.52


No. 14
First-principles (PBE) data for crystalline BaHgN2 at its relaxed geometry, as listed in Alexandria.

Output
The uncorrected formation energy is 0.5664 eV per atom. As for the space group: R-3m (166).

abc: 7.0051 7.0051 7.0051
angles: 35.97 35.97 35.97
With the nearest neighbours (Å) after each atom.
Fractional coordinates of all 4 atoms:
N 0.8989 0.8989 0.8989  1 Hg 1.99
N 0.1011 0.1011 0.1011  1 Hg 1.99
Hg 0.0000 0.0000 0.0000  2 N 1.99
Ba 0.5000 0.5000 0.5000  6 N 2.81


No. 15
First-principles (PBE) data for crystalline BaHg3N at its relaxed geometry, as listed in Alexandria.

Output
The energy above the lowest structure with this stoichiometry comes out at 0 meV per atom. The uncorrected formation energy is 0.4691 eV per atom. As for the space group: Pm-3m (221).

abc: 5.1061 5.1061 5.1061
angles: 90.00 90.00 90.00
With the nearest neighbours (Å) after each atom.
Fractional coordinates of all 5 atoms:
Hg 0.0000 0.5000 0.0000  2 N 2.55
Hg 0.5000 0.0000 0.0000  2 N 2.55
Hg 0.0000 0.0000 0.5000  2 N 2.55
Ba 0.5000 0.5000 0.5000  12 Hg 3.61
N 0.0000 0.0000 0.0000  6 Hg 2.55


No. 16
First-principles (PBE) data for crystalline Ba4HgN at its relaxed geometry, as listed in Alexandria.

Output
The energy above the lowest structure with this stoichiometry comes out at 0 meV per atom. The uncorrected formation energy is -0.3366 eV per atom. As for the space group: C2/c (15).

abc: 7.7908 7.7864 10.4555
angles: 111.89 111.92 89.95
With the nearest neighbours (Å) after each atom.
Fractional coordinates of all 12 atoms:
Ba 0.3462 0.7073 0.8966  1 N 2.56
Ba 0.0505 0.1895 0.8967  1 N 2.56
Ba 0.8104 0.6534 0.6031  1 N 2.56
Ba 0.9495 0.8105 0.1033  1 N 2.56
Ba 0.7075 0.0503 0.3969  1 N 2.56
Ba 0.2925 0.9498 0.6031  1 N 2.56
Ba 0.6538 0.2927 0.1034  1 N 2.56
Ba 0.1896 0.3466 0.3969  1 N 2.56
N 0.8752 0.1251 0.2504  4 Ba 2.56
N 0.1248 0.8749 0.7496  4 Ba 2.56
Hg 0.3751 0.6250 0.2500  8 Ba 3.64-3.91
Hg 0.6249 0.3750 0.7500  8 Ba 3.64-3.91


No. 17
First-principles (PBE) data for crystalline Ba6Hg3N at its relaxed geometry, as listed in Alexandria.

Output
The uncorrected formation energy is -0.3855 eV per atom. As for the space group: P2_1/c (14).

abc: 8.0910 8.7954 11.6398
angles: 90.00 85.96 90.00
With the nearest neighbours (Å) after each atom.
Fractional coordinates of all 20 atoms:
Hg 0.5473 0.8968 0.7533  6 Ba 3.51-3.82
Hg 0.4527 0.1032 0.2467  6 Ba 3.51-3.82
Hg 0.5000 0.5000 0.0000  6 Ba 3.46-3.49
Hg 0.0000 0.0000 0.5000  6 Ba 3.46-3.49
Hg 0.0473 0.6032 0.2533  6 Ba 3.51-3.82
Hg 0.9527 0.3968 0.7467  6 Ba 3.51-3.82
Ba 0.6407 0.2142 0.5575  1 N 2.86
Ba 0.8593 0.7142 0.9425  1 N 2.86
Ba 0.7914 0.6593 0.5576  1 N 2.86
Ba 0.7086 0.1593 0.9424  1 N 2.86
Ba 0.1286 0.0335 0.7764  1 N 2.75
Ba 0.8714 0.9665 0.2236  1 N 2.75
Ba 0.6286 0.4665 0.2764  1 N 2.75
Ba 0.1407 0.2858 0.0575  1 N 2.86
Ba 0.2914 0.8407 0.0576  1 N 2.86
Ba 0.2086 0.3407 0.4424  1 N 2.86
Ba 0.3593 0.7858 0.4425  1 N 2.86
Ba 0.3714 0.5335 0.7236  1 N 2.75
N 0.0000 0.0000 0.0000  6 Ba 2.75-2.86
N 0.5000 0.5000 0.5000  6 Ba 2.75-2.86


No. 18
First-principles (PBE) data for crystalline BaHg2N at its relaxed geometry, as listed in Alexandria.

Output
The uncorrected formation energy is 0.2733 eV per atom. As for the space group: I-42d (122).

abc: 8.6895 8.6895 6.7307
angles: 49.80 49.80 90.00
With the nearest neighbours (Å) after each atom.
Fractional coordinates of all 8 atoms:
Ba 0.7500 0.2500 0.5000  2 N 2.75
Ba 0.0000 0.0000 0.0000  2 N 2.75
Hg 0.3750 0.4624 0.7500  2 N 2.68
Hg 0.8750 0.7876 0.7500  2 N 2.68
Hg 0.2124 0.6250 0.2500  2 N 2.68
Hg 0.5376 0.1250 0.2500  2 N 2.68
N 0.2500 0.7500 0.5000  4 Hg 2.68, 2 Ba 2.75
N 0.5000 0.5000 0.0000  4 Hg 2.68, 2 Ba 2.75


No. 19
First-principles (PBE) data for crystalline Ba7HgN2 at its relaxed geometry, as listed in Alexandria.

Output
The uncorrected formation energy is -0.2179 eV per atom. As for the space group: Cmmm (65).

abc: 4.3277 11.6048 11.6048
angles: 132.00 90.00 90.00
With the nearest neighbours (Å) after each atom.
Fractional coordinates of all 10 atoms:
Ba 0.5000 0.9008 0.6669  1 N 2.69
Ba 0.5000 0.3331 0.0992  1 N 2.69
Ba 0.0000 0.7019 0.2981  2 N 2.67
Ba 0.5000 0.5000 0.5000  2 N 2.72
Ba 0.5000 0.0992 0.3331  1 N 2.69
Ba 0.0000 0.2981 0.7019  2 N 2.67
Ba 0.5000 0.6669 0.9008  1 N 2.69
N 0.5000 0.3717 0.6283  5 Ba 2.67-2.72
N 0.5000 0.6283 0.3717  5 Ba 2.67-2.72
Hg 0.0000 0.0000 0.0000  8 Ba 3.87, 2 Hg 4.33


No. 20
First-principles (PBE) data for crystalline BaNaHgN2 at its relaxed geometry, as listed in Alexandria.

Output
The uncorrected formation energy is 1.0067 eV per atom. As for the space group: P4/mmm (123).

abc: 4.8126 5.0130 4.8126
angles: 90.00 90.00 90.00
With the nearest neighbours (Å) after each atom.
Fractional coordinates of all 5 atoms:
Na 0.0000 0.0000 0.0000  4 N 2.41, 2 Hg 2.51
Ba 0.5000 0.5000 0.5000  4 Hg 3.40, 8 N 3.47
Hg 0.0000 0.5000 0.0000  2 Na 2.51
N 0.5000 0.0000 0.0000  2 Na 2.41
N 0.0000 0.0000 0.5000  2 Na 2.41


| no. | final energy (eV/atom) |
| --- | --- |
| 1 | -3.139 |
| 2 | -4.005 |
| 3 | -2.431 |
| 4 | -3.045 |
| 5 | -3.214 |
| 6 | -3.972 |
| 7 | -3.491 |
| 8 | -2.055 |
| 9 | -3.096 |
| 10 | -3.922 |
| 11 | -2.487 |
| 12 | -1.111 |
| 13 | -2.743 |
| 14 | -4.152 |
| 15 | -1.762 |
| 16 | -3.056 |
| 17 | -2.462 |
| 18 | -2.440 |
| 19 | -3.259 |
| 20 | -3.032 |